Entry 1:
{"formula": "BiMoOs3", "functional": "PBE", "state": "relaxed", "formation_enthalpy_0k_mev_per_atom": 1941, "relative_energy_kj_per_mol_atoms": 0.0, "cell": [[4.7520, 0.0000, 0.0000], [0.0000, 4.7520, 0.0000], [0.0000, 0.0000, 4.7520]], "species": ["Mo", "Os", "Os", "Os", "Bi"], "frac_coords": [[0.0000, 0.0000, 0.0000], [0.0000, 0.5000, 0.0000], [0.0000, 0.0000, 0.5000], [0.5000, 0.0000, 0.0000], [0.5000, 0.5000, 0.5000]]}

---

Entry 2:
{"formula": "BiMoOs3", "functional": "PBE", "state": "relaxed", "formation_enthalpy_0k_mev_per_atom": 3364, "relative_energy_kj_per_mol_atoms": 137.3, "cell": [[4.8489, 0.0000, 0.0000], [0.0000, 4.8489, 0.0000], [0.0000, 0.0000, 4.8489]], "species": ["Mo", "Os", "Os", "Os", "Bi"], "frac_coords": [[0.5000, 0.5000, 0.5000], [0.0000, 0.5000, 0.0000], [0.0000, 0.0000, 0.5000], [0.5000, 0.0000, 0.0000], [0.0000, 0.0000, 0.0000]]}

---

Please write out number 1 again, unchanged.
{"formula": "BiMoOs3", "functional": "PBE", "state": "relaxed", "formation_enthalpy_0k_mev_per_atom": 1941, "relative_energy_kj_per_mol_atoms": 0.0, "cell": [[4.7520, 0.0000, 0.0000], [0.0000, 4.7520, 0.0000], [0.0000, 0.0000, 4.7520]], "species": ["Mo", "Os", "Os", "Os", "Bi"], "frac_coords": [[0.0000, 0.0000, 0.0000], [0.0000, 0.5000, 0.0000], [0.0000, 0.0000, 0.5000], [0.5000, 0.0000, 0.0000], [0.5000, 0.5000, 0.5000]]}